# 1
A plane-wave DFT calculation with PBE was carried out for a relaxed structure of Ac8NiTe4Se3.

Calculated values
Raw formation energy (eV per atom): -1.48
Density of states at the Fermi level (states/eV per cell): 23.35

Cell: 9.1386 9.1386 23.0031 Å, 90.00 90.00 120.00°
Space group R-3m (No. 166, hexagonal axes)
Inequivalent atoms, fractional coordinates:
Ac (0.0000, 0.0000, 0.2433)
Ac (0.0166, 0.5083, 0.2402)
Ni (0.0000, 0.0000, 0.5000)
Te (0.0000, 0.0000, 0.0000)
Te (0.0000, 0.5000, 0.0000)
Se (0.0000, 0.5000, 0.5000)



# 2
A plane-wave DFT calculation with PBE was carried out for a relaxed structure of Ta2PbS.

Calculated values
Raw formation energy (eV per atom): 0.38
Density of states at the Fermi level (states/eV per cell): 2.61

Cell: 6.6424 6.6424 6.6424 Å, 90.00 90.00 90.00°
Space group Fm-3m (No. 225)
Inequivalent atoms, fractional coordinates:
Ta (0.2500, 0.2500, 0.2500)
Pb (0.0000, 0.0000, 0.0000)
S (0.0000, 0.0000, 0.5000)



# 3
A plane-wave DFT calculation with PBE was carried out for a relaxed structure of Cs5Np2S6.

Calculated values
Raw formation energy (eV per atom): -1.18
Density of states at the Fermi level (states/eV per cell): 24.00

Cell: 13.9828 8.9026 18.4921 Å, 90.00 102.92 90.00°
Space group C2/c (No. 15)
Inequivalent atoms, fractional coordinates:
Cs (0.0000, 0.1169, 0.2500)
Cs (0.0673, 0.2448, 0.0000)
Cs (0.1551, 0.4058, 0.7257)
Np (0.2317, 0.3442, 0.4375)
S (0.0651, 0.4420, 0.3733)
S (0.1515, 0.0513, 0.6368)
S (0.2212, 0.0426, 0.4249)



# 4
A plane-wave DFT calculation with PBE was carried out for a relaxed structure of Zr5B2P.

Calculated values
E_form (eV/atom): -0.6697
Density of states at the Fermi level (states/eV per cell): 30.48

Cell: 6.5768 6.5768 12.2616 Å, 90.00 90.00 90.00°
Space group I4/mcm (No. 140)
Inequivalent atoms, fractional coordinates:
Zr (0.0000, 0.0000, 0.0000)
Zr (0.1738, 0.3262, 0.1374)
B (0.1028, 0.3972, 0.5000)
P (0.0000, 0.0000, 0.2500)



# 5
A plane-wave DFT calculation with PBE was carried out for a relaxed structure of SbIr2Au.

Calculated values
Raw formation energy (eV per atom): 0.44
Density of states at the Fermi level (states/eV per cell): 21.03

Cell: 2.9430 2.9430 29.0163 Å, 90.00 90.00 120.00°
Space group R3m (No. 160, hexagonal axes)
Inequivalent atoms, fractional coordinates:
Sb (0.0000, 0.0000, 0.0000)
Ir (0.0000, 0.0000, 0.4843)
Ir (0.0000, 0.0000, 0.7464)
Au (0.0000, 0.0000, 0.2310)



# 6
A plane-wave DFT calculation with PBE was carried out for a relaxed structure of RuBrCl4.

Calculated values
Raw formation energy (eV per atom): 1.07
Density of states at the Fermi level (states/eV per cell): 24.81

Cell: 8.1413 8.1413 8.1413 Å, 90.00 90.00 90.00°
Space group F-43m (No. 216)
Inequivalent atoms, fractional coordinates:
Ru (0.0000, 0.0000, 0.0000)
Br (0.2500, 0.2500, 0.7500)
Cl (0.1259, 0.1259, 0.3741)



Taking the records one at a time from the top gives V values of 34.660; 18.317; 43.148; 16.574; 18.137; 22.484 A^3/atom.